Entry i
Below is crystalline Zr2CuAg at its relaxed geometry, with properties calculated at the PBE level.

Cell lengths 3.0286, 3.0286, 8.1963 Å; angles 90.00, 90.00, 90.00 degrees
With the nearest neighbours (Å) after each atom.
Element x y z (fractional)
Ag: 0.5000 0.5000 0.2500  4 Ag 3.03, 8 Zr 3.08
Zr: 0.0000 0.0000 0.5202  4 Cu 2.85, 4 Zr 3.03, 4 Ag 3.08
Zr: 0.0000 0.0000 0.9798  4 Cu 2.85, 4 Zr 3.03, 4 Ag 3.08
Cu: 0.5000 0.5000 0.7500  8 Zr 2.85, 4 Cu 3.03

---

Entry ii
Below is crystalline Zr2CuAg at its relaxed geometry, with properties calculated at the PBE level.

Cell lengths 5.0926, 5.0926, 3.0561 Å; angles 90.00, 90.00, 107.78 degrees
With the nearest neighbours (Å) after each atom.
Element x y z (fractional)
Ag: 0.5000 0.0000 0.5000  8 Zr 2.97, 2 Cu 3.00, 2 Ag 3.06
Zr: 0.0000 0.0000 0.0000  4 Ag 2.97, 4 Cu 2.97, 4 Zr 3.00-3.06
Zr: 0.5000 0.5000 0.0000  4 Cu 2.97, 4 Ag 2.97, 4 Zr 3.00-3.06
Cu: 0.0000 0.5000 0.5000  8 Zr 2.97, 2 Ag 3.00, 2 Cu 3.06

---

Least stable structure: entry ii

---

Entry i
Below is crystalline ZrCuAg3 at its relaxed geometry, with properties calculated at the PBE level.

Cell lengths 4.7288, 4.7288, 4.7288 Å; angles 90.00, 90.00, 90.00 degrees
With the nearest neighbours (Å) after each atom.
Element x y z (fractional)
Ag: 0.0000 0.5000 0.0000  2 Cu 2.36
Ag: 0.5000 0.0000 0.0000  2 Cu 2.36
Ag: 0.0000 0.0000 0.5000  2 Cu 2.36
Zr: 0.5000 0.5000 0.5000  12 Ag 3.34
Cu: 0.0000 0.0000 0.0000  6 Ag 2.36

---

Entry ii
Below is crystalline ZrCuAg3 at its relaxed geometry, with properties calculated at the PBE level.

Cell lengths 5.2915, 5.2915, 5.2915 Å; angles 90.00, 90.00, 90.00 degrees
With the nearest neighbours (Å) after each atom.
Element x y z (fractional)
Ag: 0.5000 0.0000 0.0000  2 Zr 2.65
Ag: 0.0000 0.5000 0.0000  2 Zr 2.65
Ag: 0.0000 0.0000 0.5000  2 Zr 2.65
Zr: 0.0000 0.0000 0.0000  6 Ag 2.65
Cu: 0.5000 0.5000 0.5000  12 Ag 3.74

---

Least stable structure: entry ii

---

Entry i
Below is crystalline ZrCu2Ag2 at its relaxed geometry, with properties calculated at the PBE level.

Cell lengths 3.6200, 3.6200, 7.1798 Å; angles 75.40, 75.40, 90.00 degrees
With the nearest neighbours (Å) after each atom.
Element x y z (fractional)
Ag: 0.3935 0.3935 0.2131  4 Cu 2.64, 1 Ag 2.86, 4 Zr 2.93
Ag: 0.6065 0.6065 0.7869  4 Cu 2.64, 1 Ag 2.86, 4 Zr 2.93
Cu: 0.7500 0.2500 0.5000  4 Cu 2.56, 4 Ag 2.64
Cu: 0.2500 0.7500 0.5000  4 Cu 2.56, 4 Ag 2.64
Zr: 0.0000 0.0000 0.0000  8 Ag 2.93

---

Entry ii
Below is crystalline ZrCu2Ag2 at its relaxed geometry, with properties calculated at the PBE level.

Cell lengths 7.6696, 7.6696, 2.8479 Å; angles 90.00, 90.00, 90.00 degrees
With the nearest neighbours (Å) after each atom.
Element x y z (fractional)
Ag: 0.3723 0.8723 0.0000  6 Cu 2.61-2.72, 3 Ag 2.77-2.85
Ag: 0.8723 0.6277 0.0000  6 Cu 2.61-2.72, 3 Ag 2.77-2.85
Ag: 0.1277 0.3723 0.0000  6 Cu 2.61-2.72, 3 Ag 2.77-2.85
Ag: 0.6277 0.1277 0.0000  6 Cu 2.61-2.72, 3 Ag 2.77-2.85
Cu: 0.8289 0.3289 0.5000  6 Ag 2.61-2.72, 2 Cu 2.85
Cu: 0.1711 0.6711 0.5000  6 Ag 2.61-2.72, 2 Cu 2.85
Cu: 0.3289 0.1711 0.5000  6 Ag 2.61-2.72, 2 Cu 2.85
Cu: 0.6711 0.8289 0.5000  6 Ag 2.61-2.72, 2 Cu 2.85
Zr: 0.0000 0.0000 0.0000  2 Zr 2.85, 4 Ag 3.02, 8 Cu 3.18
Zr: 0.5000 0.5000 0.0000  2 Zr 2.85, 4 Ag 3.02, 8 Cu 3.18

---

Entry iii
Below is crystalline ZrCu2Ag2 at its relaxed geometry, with properties calculated at the PBE level.

Cell lengths 7.4622, 7.4622, 2.9747 Å; angles 90.00, 90.00, 90.00 degrees
With the nearest neighbours (Å) after each atom.
Element x y z (fractional)
Zr: 0.0000 0.0000 0.0000  2 Zr 2.97, 4 Cu 2.98, 8 Ag 3.12
Zr: 0.5000 0.5000 0.0000  2 Zr 2.97, 4 Cu 2.98, 8 Ag 3.12
Cu: 0.6185 0.1185 0.0000  1 Cu 2.50, 6 Ag 2.62-2.70
Cu: 0.3815 0.8815 0.0000  1 Cu 2.50, 6 Ag 2.62-2.70
Cu: 0.8815 0.6185 0.0000  1 Cu 2.50, 6 Ag 2.62-2.70
Cu: 0.1185 0.3815 0.0000  1 Cu 2.50, 6 Ag 2.62-2.70
Ag: 0.3225 0.1775 0.5000  6 Cu 2.62-2.70
Ag: 0.8225 0.3225 0.5000  6 Cu 2.62-2.70
Ag: 0.6775 0.8225 0.5000  6 Cu 2.62-2.70
Ag: 0.1775 0.6775 0.5000  6 Cu 2.62-2.70

---

Least stable structure: entry i

---

Entry i
Below is crystalline Dy3Er2Ag2 at its relaxed geometry, with properties calculated at the PBE level.

Cell lengths 3.5828, 3.5826, 14.9822 Å; angles 83.15, 83.13, 90.00 degrees
With the nearest neighbours (Å) after each atom.
Element x y z (fractional)
Ag: 0.5625 0.5629 0.8750  8 Dy 3.13-3.14
Ag: 0.4375 0.4371 0.1250  8 Dy 3.13-3.14
Dy: 0.0000 0.0000 0.0000  8 Ag 3.13-3.14
Dy: 0.8746 0.8738 0.2509  4 Ag 3.14
Dy: 0.1254 0.1262 0.7491  4 Ag 3.14
Er: 0.7093 0.7093 0.5814  8 Er 3.49-3.58, 4 Dy 3.54
Er: 0.2907 0.2907 0.4186  8 Er 3.49-3.58, 4 Dy 3.54

---

Entry ii
Below is crystalline Dy3Er2Ag2 at its relaxed geometry, with properties calculated at the PBE level.

Cell lengths 5.3143, 5.3150, 8.2616 Å; angles 108.72, 90.00, 120.00 degrees
With the nearest neighbours (Å) after each atom.
Element x y z (fractional)
Dy: 0.5000 0.0000 0.0000  6 Ag 3.24
Dy: 0.6611 0.3222 0.4834  1 Ag 2.92, 3 Dy 3.08
Dy: 0.3389 0.6778 0.5166  1 Ag 2.92, 3 Dy 3.08
Ag: 0.7880 0.5761 0.8644  4 Dy 2.92-3.24, 4 Er 3.14-3.25
Ag: 0.2120 0.4239 0.1356  4 Dy 2.92-3.24, 4 Er 3.14-3.25
Er: 0.9247 0.8495 0.2740  4 Ag 3.14-3.25, 3 Dy 3.46, 1 Er 3.47
Er: 0.0753 0.1505 0.7260  4 Ag 3.14-3.25, 3 Dy 3.46, 1 Er 3.47

---

Least stable structure: entry ii

---

Entry i
Below is crystalline DyErAg4 at its relaxed geometry, with properties calculated at the PBE level.

Cell lengths 5.6885, 5.6885, 5.6885 Å; angles 60.00, 60.00, 60.00 degrees
With the nearest neighbours (Å) after each atom.
Element x y z (fractional)
Ag: 0.1252 0.6249 0.6249  6 Ag 2.84-2.85
Ag: 0.6249 0.6249 0.6249  6 Ag 2.84-2.85
Ag: 0.6249 0.6249 0.1252  6 Ag 2.84-2.85
Ag: 0.6249 0.1252 0.6249  6 Ag 2.84-2.85
Er: 0.2500 0.2500 0.2500  12 Ag 3.33, 4 Dy 3.48
Dy: 0.0000 0.0000 0.0000  12 Ag 3.34, 4 Er 3.48

---

Entry ii
Below is crystalline DyErAg4 at its relaxed geometry, with properties calculated at the PBE level.

Cell lengths 3.7021, 5.3204, 7.5170 Å; angles 79.47, 75.69, 110.36 degrees
With the nearest neighbours (Å) after each atom.
Element x y z (fractional)
Er: 0.0013 0.9973 0.4982  10 Ag 3.05-3.06
Ag: 0.6651 0.9919 0.1658  5 Ag 3.03-3.12, 2 Er 3.05, 3 Dy 3.06-3.08
Ag: 0.1688 0.4954 0.6616  5 Ag 3.01-3.12, 3 Er 3.06, 2 Dy 3.07-3.08
Ag: 0.3375 0.0026 0.8305  5 Ag 3.03-3.12, 2 Er 3.05, 3 Dy 3.06-3.08
Ag: 0.8339 0.4993 0.3346  5 Ag 3.01-3.12, 3 Er 3.06, 2 Dy 3.07
Dy: 0.5013 0.4973 0.9981  10 Ag 3.06-3.08

---

Least stable structure: entry i

---

Entry i
Below is crystalline Dy2ErAg2 at its relaxed geometry, with properties calculated at the PBE level.

Cell lengths 4.8825, 5.2699, 10.8939 Å; angles 96.08, 90.00, 90.00 degrees
With the nearest neighbours (Å) after each atom.
Element x y z (fractional)
Er: 0.2500 0.6995 0.2407  1 Ag 3.09
Er: 0.7500 0.3005 0.7593  1 Ag 3.09
Dy: 0.2500 0.8390 0.8886  5 Ag 2.77-3.00
Dy: 0.7500 0.1610 0.1114  5 Ag 2.77-3.00
Dy: 0.2500 0.2521 0.5070  4 Ag 2.87-2.98
Dy: 0.7500 0.7479 0.4930  4 Ag 2.87-2.98
Ag: 0.2500 0.3579 0.9916  4 Dy 2.84-3.00, 2 Ag 2.86, 1 Er 3.09
Ag: 0.7500 0.2173 0.3670  5 Dy 2.77-2.98
Ag: 0.2500 0.7827 0.6330  5 Dy 2.77-2.98
Ag: 0.7500 0.6421 0.0084  4 Dy 2.84-3.00, 2 Ag 2.86, 1 Er 3.09

---

Entry ii
Below is crystalline Dy2ErAg2 at its relaxed geometry, with properties calculated at the PBE level.

Cell lengths 3.6238, 5.2169, 13.5058 Å; angles 90.00, 97.69, 90.00 degrees
With the nearest neighbours (Å) after each atom.
Element x y z (fractional)
Er: 0.1457 0.2500 0.2913  6 Ag 3.17-3.18, 2 Dy 3.53
Er: 0.8543 0.7500 0.7087  6 Ag 3.17-3.18, 2 Dy 3.53
Dy: 0.7652 0.2500 0.5313  2 Ag 3.06, 4 Dy 3.28-3.29
Dy: 0.0475 0.7500 0.0949  8 Ag 3.11-3.18
Dy: 0.9525 0.2500 0.9051  8 Ag 3.11-3.18
Dy: 0.2348 0.7500 0.4687  2 Ag 3.06, 4 Dy 3.28-3.29
Ag: 0.3575 0.2500 0.7159  4 Dy 3.06-3.12, 4 Er 3.18
Ag: 0.4516 0.7500 0.9032  6 Dy 3.14-3.18, 2 Er 3.17
Ag: 0.5484 0.2500 0.0968  6 Dy 3.14-3.18, 2 Er 3.17
Ag: 0.6425 0.7500 0.2841  4 Dy 3.06-3.12, 4 Er 3.18

---

Least stable structure: entry i